Record 1
Here is Fe2Tc2Sn after structural relaxation from the Alexandria database. Energies are from PBE-GGA.

Theoretical density, g/cm³: 9.9
ΔE_f, eV/atom: 0.30
SG: P4/mbm (127)
Crystal system: tetragonal

Unit cell a=7.1712 b=7.1712 c=2.7814 alpha=90.00 beta=90.00 gamma=90.00
Element x y z (fractional)
1 Fe 0.1201 0.3799 0.0000
2 Fe 0.3799 0.8799 0.0000
3 Fe 0.6201 0.1201 0.0000
4 Fe 0.8799 0.6201 0.0000
5 Tc 0.1675 0.6675 0.5000
6 Tc 0.3325 0.1675 0.5000
7 Tc 0.6675 0.8325 0.5000
8 Tc 0.8325 0.3325 0.5000
9 Sn 0.0000 0.0000 0.0000
10 Sn 0.5000 0.5000 0.0000

---

Record 2
Here is MoIr2Br after structural relaxation from the Alexandria database. Energies are from PBE-GGA.

Theoretical density, g/cm³: 14.5
Formation energy from raw total energies, eV/f.u.: 2.437
SG: P2/m (10)
Crystal system: monoclinic

Unit cell a=2.8862 b=4.1853 c=5.4273 alpha=90.00 beta=102.40 gamma=90.00
Element x y z (fractional)
1 Mo 0.0000 0.0000 0.0000
2 Ir 0.3861 0.5000 0.7576
3 Ir 0.6139 0.5000 0.2424
4 Br 0.0000 0.0000 0.5000

---

| no. | VASP energy (eV/cell) |
| --- | --- |
| 1 | -80.312 |
| 2 | -27.789 |